# 1
Crystalline RbAg2AsSe4 at its relaxed geometry, computed with PBE.

```
RbAg2AsSe4
1.0
6.878 0.000 0.000
3.439 5.911 -0.725
3.439 -0.066 5.954
Se Ag Rb As
4 2 1 1
Cartesian
8.993 3.056 4.583
4.763 0.952 2.700
4.763 4.893 2.530
8.993 2.789 0.647
6.878 1.885 3.775
6.878 3.960 1.455
0.000 0.000 0.000
3.439 2.922 2.615
```

Results
- Formation energy without anion corrections: -338 meV/atom



# 2
Crystalline Rb2AgAsSe4 at its relaxed geometry, computed with PBE.

```
Rb2AgAsSe4
1.0
6.651 0.000 0.000
3.326 6.805 0.000
3.326 0.000 12.622
Se Rb As Ag
8 4 2 2
Cartesian
11.353 5.422 11.296
4.702 1.384 1.327
5.275 5.422 1.327
6.365 4.787 4.985
6.365 2.019 7.638
3.612 2.019 4.985
5.275 1.384 11.296
10.264 4.787 7.638
6.651 0.000 4.631
3.326 0.000 7.991
8.314 3.403 10.943
8.314 3.403 1.680
4.988 3.403 6.311
3.326 0.000 0.000
8.314 3.403 6.311
0.000 0.000 0.000
```

Results
- Formation energy without anion corrections: -532 meV/atom



# 3
Crystalline RbAgAs2Se at its relaxed geometry, computed with PBE.

```
RbAgAs2Se
1.0
-0.608 -4.926 2.835
5.683 -0.572 0.225
0.092 2.915 5.086
Rb As Se Ag
1 2 1 1
Cartesian
0.000 0.000 0.000
-0.304 -2.463 1.417
2.841 -0.286 0.113
0.046 1.457 2.543
2.583 -1.291 4.073
```

Results
- Distance to the lowest polymorph of the same formula: 1275.7 meV/atom
- Formation energy without anion corrections: 1552 meV/atom



# 4
Crystalline RbAgAsSe2 at its relaxed geometry, computed with PBE.

```
RbAgAsSe2
1.0
6.219 0.000 0.000
0.000 6.219 0.000
0.000 0.000 6.452
Se Rb Ag As
2 1 1 1
Cartesian
3.109 0.000 0.000
0.000 3.109 0.000
0.000 0.000 0.000
3.109 3.109 3.226
0.000 0.000 3.226
```

Results
- Distance to the lowest polymorph of the same formula: 1541.8 meV/atom
- Formation energy without anion corrections: 1280 meV/atom



# 5
Crystalline RbAgAsSe3 at its relaxed geometry, computed with PBE.

```
RbAgAsSe3
1.0
4.006 0.000 0.000
0.000 9.165 -0.030
0.000 -3.562 9.385
Se Rb As Ag
6 2 2 2
Cartesian
1.002 5.412 4.080
3.005 7.503 1.049
1.002 -1.900 8.306
3.005 0.191 5.275
3.005 3.797 1.335
1.002 1.806 8.020
3.005 4.516 6.918
1.002 1.087 2.437
1.002 5.680 1.127
3.005 -0.076 8.228
3.005 7.139 3.687
1.002 -1.536 5.668
```

Results
- Formation energy without anion corrections: -347 meV/atom



# 6
Crystalline RbAg2As3Se6 at its relaxed geometry, computed with PBE.

```
RbAg2As3Se6
1.0
-0.771 -6.765 3.892
5.916 3.604 7.437
-8.433 9.940 15.608
Se As Ag Rb
24 12 8 4
Cartesian
-5.019 8.796 18.277
1.507 3.292 17.131
1.731 -2.017 8.660
-2.488 2.926 16.479
-2.553 7.081 16.268
-3.360 0.696 13.169
-1.530 8.702 19.556
-4.219 10.393 21.951
-3.935 5.204 12.934
-3.639 5.931 22.159
-5.001 4.228 18.725
0.647 1.575 14.002
-0.506 -0.847 1.636
-4.795 3.487 9.806
-0.735 -0.303 10.668
-1.758 -1.923 7.381
1.713 2.551 8.211
0.072 6.082 13.768
2.763 4.401 11.367
0.351 0.848 4.777
0.931 -3.614 4.986
-6.051 2.378 15.569
-0.800 3.852 10.458
-2.782 7.626 25.301
-5.284 5.582 11.002
-4.537 4.163 16.304
-6.936 5.693 18.353
-2.784 9.201 17.507
-2.917 -1.008 11.545
1.249 2.616 10.633
1.996 1.197 15.935
-1.225 -0.762 3.988
-0.371 7.787 15.392
3.648 1.086 8.584
-0.505 -2.423 9.430
-2.063 7.541 22.948
-4.932 7.472 20.521
-2.493 2.980 12.266
3.067 -4.278 8.654
-1.042 -0.360 14.364
-2.246 7.139 12.573
-6.355 11.057 18.283
1.644 -0.693 6.416
-0.795 3.799 14.671
-1.220 5.129 19.260
-6.161 7.705 14.856
-2.068 1.650 7.677
2.873 -0.926 12.080
```

Results
- Formation energy without anion corrections: -300 meV/atom



# 7
Crystalline RbAgAs2Se at its relaxed geometry, computed with PBE.

```
RbAgAs2Se
1.0
-1.386 3.378 3.595
2.156 -2.944 3.597
4.736 2.653 -0.668
Se Ag Rb As
1 1 1 2
Cartesian
2.368 1.326 -0.334
0.000 0.000 0.000
2.753 1.544 3.262
-0.693 1.689 1.797
1.078 -1.472 1.799
```

Results
- Distance to the lowest polymorph of the same formula: 0.0 meV/atom
- Formation energy without anion corrections: 276 meV/atom



# 8
Crystalline RbSiAgAs2 at its relaxed geometry, computed with PBE.

```
RbSiAgAs2
1.0
6.212 0.000 0.000
-3.106 6.905 0.000
0.000 0.000 6.930
Ag Si As Rb
2 2 4 2
Cartesian
0.000 0.000 3.465
3.106 0.000 3.465
1.553 0.000 0.000
4.659 0.000 0.000
3.106 5.610 1.295
0.000 1.294 5.635
0.000 5.610 5.635
3.106 1.294 1.295
0.000 3.452 1.626
3.106 3.452 5.304
```

Results
- Formation energy without anion corrections: -250 meV/atom



# 9
Crystalline RbTaAgAs2 at its relaxed geometry, computed with PBE.

```
RbTaAgAs2
1.0
5.024 0.000 0.000
0.000 5.565 0.000
0.000 0.000 5.024
Rb As Ag Ta
1 2 1 1
Cartesian
2.512 2.783 2.512
0.000 0.000 2.512
2.512 0.000 0.000
0.000 2.783 0.000
0.000 0.000 0.000
```

Results
- Formation energy: 0.020 eV/atom



# 10
Crystalline Rb2TaAgAs at its relaxed geometry, computed with PBE.

```
Rb2TaAgAs
1.0
6.691 0.000 0.000
0.000 4.744 0.000
0.000 0.000 6.691
Ag As Rb Ta
1 1 2 1
Cartesian
0.000 2.372 0.000
0.000 0.000 0.000
0.000 0.000 3.346
3.346 0.000 0.000
3.346 2.372 3.346
```

Results
- Formation energy: 1.249 eV/atom



# 11
Crystalline RbTc2AgAs at its relaxed geometry, computed with PBE.

```
RbTc2AgAs
1.0
5.302 0.000 0.000
0.000 5.040 0.000
0.000 0.000 5.302
Tc Rb As Ag
2 1 1 1
Cartesian
2.651 0.000 0.000
0.000 0.000 2.651
2.651 2.520 2.651
0.000 2.520 0.000
0.000 0.000 0.000
```

Results
- Formation energy: 1.671 eV/atom



# 12
Crystalline RbAgTe3As at its relaxed geometry, computed with PBE.

```
RbAgTe3As
1.0
4.072 0.000 0.000
0.000 10.055 0.027
0.000 -3.848 9.948
As Te Rb Ag
2 6 2 2
Cartesian
1.018 6.207 1.233
3.054 0.000 8.742
3.054 8.266 1.162
1.018 -2.059 8.814
1.018 5.962 4.379
3.054 0.245 5.596
1.018 2.063 8.465
3.054 4.144 1.511
3.054 5.101 7.404
1.018 1.106 2.571
1.018 -1.728 6.000
3.054 7.936 3.975
```

Results
- Formation energy without anion corrections: -271 meV/atom



Quick rundown of total moment, same order as above: 0.0 0.0 0.9 5.1 0.0 0.0 0.8 0.0 0.0 3.4 7.6 0.0 Bohr magnetons per cell